No. 1
A plane-wave DFT calculation with GGA-PBE was carried out for a geometry-optimized Ac7Pm12Dy structure.

Results
For the calculated formation energy, the calculation gives 0.82 eV/atom.

Geometry as CIF:
```
data_Ac7Pm12Dy
_chemical_formula_sum 'Ac7 Pm12 Dy1'
_space_group_name_H-M_alt 'P 1'
_space_group_IT_number 1
_cell_length_a 10.487
_cell_length_b 10.487
_cell_length_c 10.487
_cell_angle_alpha 109.47
_cell_angle_beta 109.47
_cell_angle_gamma 109.47
loop_
_space_group_symop_operation_xyz
'x,y,z'
loop_
_atom_site_label
_atom_site_type_symbol
_atom_site_fract_x
_atom_site_fract_y
_atom_site_fract_z
Ac1 Ac 0.000 0.000 0.500
Ac2 Ac 0.000 0.500 0.000
Ac3 Ac 0.000 0.500 0.500
Ac4 Ac 0.500 0.000 0.000
Ac5 Ac 0.500 0.000 0.500
Ac6 Ac 0.500 0.500 0.000
Ac7 Ac 0.500 0.500 0.500
Pm1 Pm 0.078 0.322 0.756
Pm2 Pm 0.244 0.566 0.322
Pm3 Pm 0.244 0.922 0.678
Pm4 Pm 0.322 0.244 0.566
Pm5 Pm 0.322 0.756 0.078
Pm6 Pm 0.434 0.678 0.756
Pm7 Pm 0.566 0.322 0.244
Pm8 Pm 0.678 0.244 0.922
Pm9 Pm 0.678 0.756 0.434
Pm10 Pm 0.756 0.078 0.322
Pm11 Pm 0.756 0.434 0.678
Pm12 Pm 0.922 0.678 0.244
Dy1 Dy 0.000 0.000 0.000
```

No. 2
A plane-wave DFT calculation with GGA-PBE was carried out for a geometry-optimized AcPm6Dy2 structure.

Results
For the calculated formation energy, the calculation gives 0.02 eV/atom. For the energy above the most stable polymorph in this dataset, the calculation gives 0 meV per atom.

Geometry as CIF:
```
data_AcPm6Dy2
_chemical_formula_sum 'Ac1 Pm6 Dy2'
_space_group_name_H-M_alt 'P 1'
_space_group_IT_number 1
_cell_length_a 9.747
_cell_length_b 9.747
_cell_length_c 9.111
_cell_angle_alpha 103.49
_cell_angle_beta 103.49
_cell_angle_gamma 21.90
loop_
_space_group_symop_operation_xyz
'x,y,z'
loop_
_atom_site_label
_atom_site_type_symbol
_atom_site_fract_x
_atom_site_fract_y
_atom_site_fract_z
Ac1 Ac 0.000 0.000 0.000
Pm1 Pm 0.074 0.074 0.662
Pm2 Pm 0.258 0.258 0.335
Pm3 Pm 0.331 0.331 0.000
Pm4 Pm 0.669 0.669 0.000
Pm5 Pm 0.742 0.742 0.665
Pm6 Pm 0.926 0.926 0.338
Dy1 Dy 0.407 0.407 0.663
Dy2 Dy 0.593 0.593 0.337
```

No. 3
A plane-wave DFT calculation with GGA-PBE was carried out for a geometry-optimized AcPm10Dy6 structure.

Results
For the calculated formation energy, the calculation gives 0.14 eV/atom.

Geometry as CIF:
```
data_AcPm10Dy6
_chemical_formula_sum 'Ac1 Pm10 Dy6'
_space_group_name_H-M_alt 'P 1'
_space_group_IT_number 1
_cell_length_a 9.882
_cell_length_b 9.882
_cell_length_c 6.944
_cell_angle_alpha 90.00
_cell_angle_beta 90.00
_cell_angle_gamma 120.00
loop_
_space_group_symop_operation_xyz
'x,y,z'
loop_
_atom_site_label
_atom_site_type_symbol
_atom_site_fract_x
_atom_site_fract_y
_atom_site_fract_z
Ac1 Ac 0.000 0.000 0.000
Pm1 Pm 0.000 0.282 0.675
Pm2 Pm 0.000 0.718 0.325
Pm3 Pm 0.282 0.000 0.675
Pm4 Pm 0.282 0.282 0.325
Pm5 Pm 0.333 0.667 0.000
Pm6 Pm 0.333 0.667 0.500
Pm7 Pm 0.667 0.333 0.000
Pm8 Pm 0.667 0.333 0.500
Pm9 Pm 0.718 0.000 0.325
Pm10 Pm 0.718 0.718 0.675
Dy1 Dy 0.000 0.373 0.190
Dy2 Dy 0.000 0.627 0.810
Dy3 Dy 0.373 0.000 0.190
Dy4 Dy 0.373 0.373 0.810
Dy5 Dy 0.627 0.000 0.810
Dy6 Dy 0.627 0.627 0.190
```

No. 4
A plane-wave DFT calculation with GGA-PBE was carried out for a geometry-optimized AcPm4Dy15 structure.

Results
For the calculated formation energy, the calculation gives 0.03 eV/atom.

Geometry as CIF:
```
data_AcPm4Dy15
_chemical_formula_sum 'Ac1 Pm4 Dy15'
_space_group_name_H-M_alt 'P 1'
_space_group_IT_number 1
_cell_length_a 5.077
_cell_length_b 5.077
_cell_length_c 25.290
_cell_angle_alpha 90.00
_cell_angle_beta 90.00
_cell_angle_gamma 90.00
loop_
_space_group_symop_operation_xyz
'x,y,z'
loop_
_atom_site_label
_atom_site_type_symbol
_atom_site_fract_x
_atom_site_fract_y
_atom_site_fract_z
Ac1 Ac 0.000 0.000 0.000
Pm1 Pm 0.000 0.000 0.202
Pm2 Pm 0.000 0.000 0.401
Pm3 Pm 0.000 0.000 0.599
Pm4 Pm 0.000 0.000 0.798
Dy1 Dy 0.000 0.500 0.104
Dy2 Dy 0.000 0.500 0.302
Dy3 Dy 0.000 0.500 0.500
Dy4 Dy 0.000 0.500 0.698
Dy5 Dy 0.000 0.500 0.896
Dy6 Dy 0.500 0.000 0.104
Dy7 Dy 0.500 0.000 0.302
Dy8 Dy 0.500 0.000 0.500
Dy9 Dy 0.500 0.000 0.698
Dy10 Dy 0.500 0.000 0.896
Dy11 Dy 0.500 0.500 0.000
Dy12 Dy 0.500 0.500 0.203
Dy13 Dy 0.500 0.500 0.401
Dy14 Dy 0.500 0.500 0.599
Dy15 Dy 0.500 0.500 0.797
```

No. 5
A plane-wave DFT calculation with GGA-PBE was carried out for a geometry-optimized Ac3Pm4Dy2 structure.

Results
For the calculated formation energy, the calculation gives 0.11 eV/atom.

Geometry as CIF:
```
data_Ac3Pm4Dy2
_chemical_formula_sum 'Ac3 Pm4 Dy2'
_space_group_name_H-M_alt 'P 1'
_space_group_IT_number 1
_cell_length_a 5.724
_cell_length_b 7.150
_cell_length_c 9.296
_cell_angle_alpha 109.00
_cell_angle_beta 107.88
_cell_angle_gamma 90.02
loop_
_space_group_symop_operation_xyz
'x,y,z'
loop_
_atom_site_label
_atom_site_type_symbol
_atom_site_fract_x
_atom_site_fract_y
_atom_site_fract_z
Ac1 Ac 0.000 0.000 0.000
Ac2 Ac 0.419 0.602 0.838
Ac3 Ac 0.581 0.398 0.162
Pm1 Pm 0.216 0.288 0.432
Pm2 Pm 0.363 0.038 0.726
Pm3 Pm 0.637 0.962 0.274
Pm4 Pm 0.784 0.712 0.568
Dy1 Dy 0.153 0.727 0.306
Dy2 Dy 0.847 0.273 0.694
```

No. 6
A plane-wave DFT calculation with GGA-PBE was carried out for a geometry-optimized Ac2Pm3Dy5 structure.

Results
For the calculated formation energy, the calculation gives 0.19 eV/atom.

Geometry as CIF:
```
data_Ac2Pm3Dy5
_chemical_formula_sum 'Ac4 Pm6 Dy10'
_space_group_name_H-M_alt 'P 1'
_space_group_IT_number 1
_cell_length_a 9.086
_cell_length_b 9.086
_cell_length_c 10.084
_cell_angle_alpha 100.54
_cell_angle_beta 100.54
_cell_angle_gamma 112.49
loop_
_space_group_symop_operation_xyz
'x,y,z'
loop_
_atom_site_label
_atom_site_type_symbol
_atom_site_fract_x
_atom_site_fract_y
_atom_site_fract_z
Ac1 Ac 0.141 0.355 0.499
Ac2 Ac 0.355 0.141 0.999
Ac3 Ac 0.645 0.859 0.001
Ac4 Ac 0.859 0.645 0.501
Pm1 Pm 0.221 0.469 0.905
Pm2 Pm 0.250 0.750 0.250
Pm3 Pm 0.469 0.221 0.405
Pm4 Pm 0.531 0.779 0.595
Pm5 Pm 0.750 0.250 0.750
Pm6 Pm 0.779 0.531 0.095
Dy1 Dy 0.032 0.968 0.250
Dy2 Dy 0.034 0.277 0.094
Dy3 Dy 0.248 0.752 0.750
Dy4 Dy 0.277 0.034 0.594
Dy5 Dy 0.467 0.533 0.250
Dy6 Dy 0.533 0.467 0.750
Dy7 Dy 0.723 0.966 0.406
Dy8 Dy 0.752 0.248 0.250
Dy9 Dy 0.966 0.723 0.906
Dy10 Dy 0.968 0.032 0.750
```

No. 7
A plane-wave DFT calculation with GGA-PBE was carried out for a geometry-optimized Ac3Pm2Dy3 structure.

Results
For the calculated formation energy, the calculation gives 0.18 eV/atom.

Geometry as CIF:
```
data_Ac3Pm2Dy3
_chemical_formula_sum 'Ac6 Pm4 Dy6'
_space_group_name_H-M_alt 'P 1'
_space_group_IT_number 1
_cell_length_a 10.144
_cell_length_b 10.144
_cell_length_c 6.794
_cell_angle_alpha 90.00
_cell_angle_beta 90.00
_cell_angle_gamma 120.00
loop_
_space_group_symop_operation_xyz
'x,y,z'
loop_
_atom_site_label
_atom_site_type_symbol
_atom_site_fract_x
_atom_site_fract_y
_atom_site_fract_z
Ac1 Ac 0.000 0.234 0.250
Ac2 Ac 0.000 0.766 0.750
Ac3 Ac 0.234 0.000 0.250
Ac4 Ac 0.234 0.234 0.750
Ac5 Ac 0.766 0.000 0.750
Ac6 Ac 0.766 0.766 0.250
Pm1 Pm 0.333 0.667 0.000
Pm2 Pm 0.333 0.667 0.500
Pm3 Pm 0.667 0.333 0.000
Pm4 Pm 0.667 0.333 0.500
Dy1 Dy 0.000 0.414 0.750
Dy2 Dy 0.000 0.586 0.250
Dy3 Dy 0.414 0.000 0.750
Dy4 Dy 0.414 0.414 0.250
Dy5 Dy 0.586 0.000 0.250
Dy6 Dy 0.586 0.586 0.750
```

No. 8
A plane-wave DFT calculation with GGA-PBE was carried out for a geometry-optimized Ac2Pm6Dy structure.

Results
For the calculated formation energy, the calculation gives 0.16 eV/atom. For the energy above the most stable polymorph in this dataset, the calculation gives 64 meV per atom.

Geometry as CIF:
```
data_Ac2Pm6Dy
_chemical_formula_sum 'Ac2 Pm6 Dy1'
_space_group_name_H-M_alt 'P 1'
_space_group_IT_number 1
_cell_length_a 7.334
_cell_length_b 7.334
_cell_length_c 7.140
_cell_angle_alpha 90.01
_cell_angle_beta 90.01
_cell_angle_gamma 60.04
loop_
_space_group_symop_operation_xyz
'x,y,z'
loop_
_atom_site_label
_atom_site_type_symbol
_atom_site_fract_x
_atom_site_fract_y
_atom_site_fract_z
Ac1 Ac 0.166 0.166 0.172
Ac2 Ac 0.834 0.834 0.828
Pm1 Pm 0.140 0.678 0.320
Pm2 Pm 0.321 0.321 0.681
Pm3 Pm 0.322 0.860 0.680
Pm4 Pm 0.678 0.140 0.320
Pm5 Pm 0.679 0.679 0.319
Pm6 Pm 0.860 0.322 0.680
Dy1 Dy 0.500 0.500 0.000
```

No. 9
A plane-wave DFT calculation with GGA-PBE was carried out for a geometry-optimized AcPm6Dy2 structure.

Results
For the calculated formation energy, the calculation gives 0.07 eV/atom. For the energy above the most stable polymorph in this dataset, the calculation gives 53 meV per atom.

Geometry as CIF:
```
data_AcPm6Dy2
_chemical_formula_sum 'Ac1 Pm6 Dy2'
_space_group_name_H-M_alt 'P 1'
_space_group_IT_number 1
_cell_length_a 3.674
_cell_length_b 3.674
_cell_length_c 27.210
_cell_angle_alpha 90.00
_cell_angle_beta 90.00
_cell_angle_gamma 120.00
loop_
_space_group_symop_operation_xyz
'x,y,z'
loop_
_atom_site_label
_atom_site_type_symbol
_atom_site_fract_x
_atom_site_fract_y
_atom_site_fract_z
Ac1 Ac 0.000 0.000 0.000
Pm1 Pm 0.000 0.000 0.224
Pm2 Pm 0.000 0.000 0.435
Pm3 Pm 0.000 0.000 0.565
Pm4 Pm 0.000 0.000 0.776
Pm5 Pm 0.333 0.667 0.117
Pm6 Pm 0.333 0.667 0.883
Dy1 Dy 0.333 0.667 0.332
Dy2 Dy 0.333 0.667 0.668
```

No. 10
A plane-wave DFT calculation with GGA-PBE was carried out for a geometry-optimized AcPmDy6 structure.

Results
For the calculated formation energy, the calculation gives 0.40 eV/atom. For the energy above the most stable polymorph in this dataset, the calculation gives 359 meV per atom.

Geometry as CIF:
```
data_AcPmDy6
_chemical_formula_sum 'Ac1 Pm1 Dy6'
_space_group_name_H-M_alt 'P 1'
_space_group_IT_number 1
_cell_length_a 5.987
_cell_length_b 5.987
_cell_length_c 8.925
_cell_angle_alpha 100.37
_cell_angle_beta 100.37
_cell_angle_gamma 71.50
loop_
_space_group_symop_operation_xyz
'x,y,z'
loop_
_atom_site_label
_atom_site_type_symbol
_atom_site_fract_x
_atom_site_fract_y
_atom_site_fract_z
Ac1 Ac 0.000 0.000 0.000
Pm1 Pm 0.500 0.500 0.500
Dy1 Dy 0.044 0.521 0.701
Dy2 Dy 0.378 0.378 0.081
Dy3 Dy 0.479 0.956 0.299
Dy4 Dy 0.521 0.044 0.701
Dy5 Dy 0.622 0.622 0.919
Dy6 Dy 0.956 0.479 0.299
```

No. 11
A plane-wave DFT calculation with GGA-PBE was carried out for a geometry-optimized AcPm4Dy3 structure.

Results
For the calculated formation energy, the calculation gives 0.15 eV/atom.

Geometry as CIF:
```
data_AcPm4Dy3
_chemical_formula_sum 'Ac1 Pm4 Dy3'
_space_group_name_H-M_alt 'P 1'
_space_group_IT_number 1
_cell_length_a 9.057
_cell_length_b 9.057
_cell_length_c 9.057
_cell_angle_alpha 157.50
_cell_angle_beta 97.73
_cell_angle_gamma 86.66
loop_
_space_group_symop_operation_xyz
'x,y,z'
loop_
_atom_site_label
_atom_site_type_symbol
_atom_site_fract_x
_atom_site_fract_y
_atom_site_fract_z
Ac1 Ac 0.000 0.000 0.000
Pm1 Pm 0.119 0.865 0.254
Pm2 Pm 0.388 0.135 0.254
Pm3 Pm 0.612 0.865 0.746
Pm4 Pm 0.881 0.135 0.746
Dy1 Dy 0.243 0.743 0.500
Dy2 Dy 0.500 0.500 0.000
Dy3 Dy 0.757 0.257 0.500
```

No. 12
A plane-wave DFT calculation with GGA-PBE was carried out for a geometry-optimized Ac8PmDy4 structure.

Results
For the calculated formation energy, the calculation gives 0.39 eV/atom.

Geometry as CIF:
```
data_Ac8PmDy4
_chemical_formula_sum 'Ac8 Pm1 Dy4'
_space_group_name_H-M_alt 'P 1'
_space_group_IT_number 1
_cell_length_a 8.328
_cell_length_b 8.328
_cell_length_c 8.328
_cell_angle_alpha 90.08
_cell_angle_beta 90.08
_cell_angle_gamma 90.08
loop_
_space_group_symop_operation_xyz
'x,y,z'
loop_
_atom_site_label
_atom_site_type_symbol
_atom_site_fract_x
_atom_site_fract_y
_atom_site_fract_z
Ac1 Ac 0.241 0.241 0.241
Ac2 Ac 0.241 0.241 0.758
Ac3 Ac 0.241 0.758 0.241
Ac4 Ac 0.242 0.759 0.759
Ac5 Ac 0.758 0.241 0.241
Ac6 Ac 0.759 0.242 0.759
Ac7 Ac 0.759 0.759 0.242
Ac8 Ac 0.759 0.759 0.759
Pm1 Pm 0.500 0.500 0.500
Dy1 Dy 0.000 0.000 0.000
Dy2 Dy 0.000 0.500 0.500
Dy3 Dy 0.500 0.000 0.500
Dy4 Dy 0.500 0.500 0.000
```